(1)
# LiPAu2 meta-GGA SCAN single point on PBEsol structure
data_LiPAu2
_chemical_formula_sum 'Li1 P1 Au2'
_symmetry_space_group_name_H-M 'P 1'
_symmetry_Int_Tables_number 1
_cell_length_a 4.952
_cell_length_b 4.952
_cell_length_c 4.952
_cell_angle_alpha 134.52
_cell_angle_beta 134.52
_cell_angle_gamma 66.27
loop_
_symmetry_equiv_pos_as_xyz
'x,y,z'
loop_
_atom_site_label
_atom_site_type_symbol
_atom_site_fract_x
_atom_site_fract_y
_atom_site_fract_z
Li1 Li 0.000 0.000 0.000
P1 P 0.750 0.250 0.500
Au1 Au 0.250 0.750 0.500
Au2 Au 0.500 0.500 0.000
# ΔH_f (0 K) ... -0.146 eV per atom


(2)
# LiP2Au2 meta-GGA SCAN single point on PBEsol structure
data_LiP2Au2
_chemical_formula_sum 'Li1 P2 Au2'
_symmetry_space_group_name_H-M 'P 1'
_symmetry_Int_Tables_number 1
_cell_length_a 5.450
_cell_length_b 5.450
_cell_length_c 5.450
_cell_angle_alpha 128.94
_cell_angle_beta 128.94
_cell_angle_gamma 75.10
loop_
_symmetry_equiv_pos_as_xyz
'x,y,z'
loop_
_atom_site_label
_atom_site_type_symbol
_atom_site_fract_x
_atom_site_fract_y
_atom_site_fract_z
Li1 Li 0.000 0.000 0.000
P1 P 0.250 0.750 0.500
P2 P 0.750 0.250 0.500
Au1 Au 0.336 0.336 0.000
Au2 Au 0.664 0.664 0.000
# ΔH_f (0 K) ... -0.064 eV per atom


(3)
# LiPAu2 meta-GGA SCAN single point on PBEsol structure
data_LiPAu2
_chemical_formula_sum 'Li1 P1 Au2'
_symmetry_space_group_name_H-M 'P 1'
_symmetry_Int_Tables_number 1
_cell_length_a 2.803
_cell_length_b 4.191
_cell_length_c 5.465
_cell_angle_alpha 90.00
_cell_angle_beta 90.08
_cell_angle_gamma 90.00
loop_
_symmetry_equiv_pos_as_xyz
'x,y,z'
loop_
_atom_site_label
_atom_site_type_symbol
_atom_site_fract_x
_atom_site_fract_y
_atom_site_fract_z
Li1 Li 0.000 0.000 0.000
P1 P 0.500 0.000 0.500
Au1 Au 0.500 0.500 0.243
Au2 Au 0.500 0.500 0.757
# ΔH_f (0 K) ... -0.253 eV per atom


(4)
# LiP2AuS meta-GGA SCAN single point on PBEsol structure
data_LiP2AuS
_chemical_formula_sum 'Li1 P2 Au1 S1'
_symmetry_space_group_name_H-M 'P 1'
_symmetry_Int_Tables_number 1
_cell_length_a 4.735
_cell_length_b 4.735
_cell_length_c 5.103
_cell_angle_alpha 90.00
_cell_angle_beta 90.00
_cell_angle_gamma 90.00
loop_
_symmetry_equiv_pos_as_xyz
'x,y,z'
loop_
_atom_site_label
_atom_site_type_symbol
_atom_site_fract_x
_atom_site_fract_y
_atom_site_fract_z
Li1 Li 0.000 0.000 0.000
P1 P 0.000 0.500 0.500
P2 P 0.500 0.000 0.500
Au1 Au 0.500 0.500 0.500
S1 S 0.500 0.500 0.000
# Uncorrected formation energy ... 3.2 eV per formula unit


For the records above, the corresponding volume values read 60.77, 95.34, 64.20, 114.42 Å³/cell.